Record 1
VASP calculation (GGA-PBE) on an optimized crystal structure of AgW5.

Computed properties:
- size of the total moment (μB per formula unit) = 0.0
- energy above the most stable polymorph in this dataset (eV/atom) = 0.060
- final energy (hartree per atom) = -0.39314

Cell lengths 7.433, 7.433, 7.433 Å; angles 90.00, 90.00, 90.00 degrees
Space group F-43m (No. 216)
Unique sites:
Ag: 0.000 0.000 0.000 x4
W: 0.125 0.125 0.625 x16
W: 0.250 0.250 0.250 x4



Record 2
VASP calculation (GGA-PBE) on an optimized crystal structure of RbAg3.

Computed properties:
- size of the total moment (μB per formula unit) = 0.0
- energy above the most stable polymorph in this dataset (eV/atom) = 0.000
- final energy (hartree per atom) = -0.08627

Cell lengths 8.378, 4.838, 6.832 Å; angles 90.00, 114.42, 90.00 degrees
Space group C2/m (No. 12)
Unique sites:
Rb: 0.000 0.000 0.000 x2
Ag: 0.000 0.500 0.500 x2
Ag: 0.183 0.000 0.550 x4



Record 3
VASP calculation (GGA-PBE) on an optimized crystal structure of PaSeF3.

Computed properties:
- size of the total moment (μB per formula unit) = 0.0
- ΔE_f (raw) (meV/atom) = -2960
- energy above the most stable polymorph in this dataset (eV/atom) = 0.000
- final energy (hartree per atom) = -0.24544

Cell lengths 3.942, 3.947, 11.955 Å; angles 80.50, 80.56, 90.00 degrees
Space group P-1 (No. 2)
Unique sites:
Pa: 0.106 0.356 0.285 x2
Se: 0.341 0.091 0.821 x2
F: 0.054 0.803 0.390 x2
F: 0.194 0.444 0.109 x2
F: 0.445 0.696 0.612 x2



Record 4
VASP calculation (GGA-PBE) on an optimized crystal structure of PrErZn4.

Computed properties:
- size of the total moment (μB per formula unit) = 0.0
- energy above the most stable polymorph in this dataset (eV/atom) = 0.000
- final energy (hartree per atom) = -0.10114

Cell lengths 4.494, 7.271, 7.784 Å; angles 90.00, 90.00, 90.00 degrees
Space group Immm (No. 71)
Unique sites:
Pr: 0.000 0.000 0.000 x2
Er: 0.000 0.500 0.000 x2
Zn: 0.000 0.240 0.334 x8